[1]
A plane-wave DFT calculation with PBE was carried out for crystalline NiPW at its relaxed geometry.

The calculated total energy is -25.2 eV/f.u. As for the formation energy: -0.3536 eV/atom.

Lattice parameters (Å, degrees): 3.796 5.843 5.843 120.00 90.00 90.00
Fractional coordinates of all 9 atoms:
W (0.500, 0.414, 0.414)
W (0.500, 0.586, 0.000)
W (0.500, 0.000, 0.586)
P (0.000, 0.333, 0.667)
P (0.000, 0.667, 0.333)
P (0.500, 0.000, 0.000)
Ni (0.000, 0.000, 0.253)
Ni (0.000, 0.253, 0.000)
Ni (0.000, 0.747, 0.747)

[2]
A plane-wave DFT calculation with PBE was carried out for crystalline Ba4NaCd at its relaxed geometry.

The calculated total energy is -9.8 eV/f.u. As for the formation energy: 0.0256 eV/atom.

Lattice parameters (Å, degrees): 8.912 8.841 8.831 90.00 95.45 90.00
Fractional coordinates of all 12 atoms:
Ba (0.817, 0.165, 0.357)
Ba (0.627, 0.149, 0.838)
Ba (0.373, 0.851, 0.162)
Ba (0.683, 0.665, 0.643)
Ba (0.127, 0.351, 0.838)
Ba (0.873, 0.649, 0.162)
Ba (0.317, 0.335, 0.357)
Ba (0.183, 0.835, 0.643)
Na (0.500, 0.500, 0.000)
Na (0.000, 0.000, 0.000)
Cd (0.000, 0.500, 0.500)
Cd (0.500, 0.000, 0.500)

[3]
A plane-wave DFT calculation with PBE was carried out for crystalline ZnTeP at its relaxed geometry.

The calculated total energy is -8.0 eV/f.u.

Lattice parameters (Å, degrees): 4.700 4.700 4.700 60.00 60.00 60.00
Fractional coordinates of all 3 atoms:
P (0.500, 0.500, 0.500)
Te (0.750, 0.750, 0.750)
Zn (0.000, 0.000, 0.000)

[4]
A plane-wave DFT calculation with PBE was carried out for crystalline HoPuF6 at its relaxed geometry.

The calculated total energy is -61.0 eV/f.u.

Lattice parameters (Å, degrees): 4.057 6.024 6.045 71.30 70.37 70.29
Fractional coordinates of all 8 atoms:
F (0.550, 0.125, 0.774)
F (0.256, 0.744, 0.743)
F (0.744, 0.256, 0.257)
F (0.450, 0.875, 0.226)
F (0.053, 0.606, 0.288)
F (0.947, 0.394, 0.712)
Pu (0.000, 0.000, 0.000)
Ho (0.500, 0.500, 0.500)

[5]
A plane-wave DFT calculation with PBE was carried out for crystalline Nd3Sc2Pb3 at its relaxed geometry.

The calculated total energy is -42.2 eV/f.u. As for the formation energy: -0.5094 eV/atom.

Lattice parameters (Å, degrees): 6.490 9.120 9.120 120.00 90.00 90.00
Fractional coordinates of all 16 atoms:
Nd (0.250, 0.241, 0.241)
Nd (0.250, 0.759, 0.000)
Nd (0.250, 0.000, 0.759)
Nd (0.750, 0.759, 0.759)
Nd (0.750, 0.241, 0.000)
Nd (0.750, 0.000, 0.241)
Pb (0.750, 0.598, 0.000)
Pb (0.250, 0.402, 0.000)
Pb (0.750, 0.000, 0.598)
Pb (0.750, 0.402, 0.402)
Pb (0.250, 0.598, 0.598)
Pb (0.250, 0.000, 0.402)
Sc (0.000, 0.667, 0.333)
Sc (0.500, 0.333, 0.667)
Sc (0.000, 0.333, 0.667)
Sc (0.500, 0.667, 0.333)

[6]
A plane-wave DFT calculation with PBE was carried out for crystalline CsKAg2 at its relaxed geometry.

The calculated total energy is -7.3 eV/f.u. As for the formation energy: 0.0791 eV/atom.

Lattice parameters (Å, degrees): 4.370 4.370 8.271 90.00 90.00 90.00
Fractional coordinates of all 4 atoms:
Cs (0.500, 0.500, 0.500)
K (0.500, 0.500, 0.000)
Ag (0.000, 0.000, 0.193)
Ag (0.000, 0.000, 0.807)

[7]
A plane-wave DFT calculation with PBE was carried out for crystalline ZrRh2W at its relaxed geometry.

The calculated total energy is -36.1 eV/f.u. As for the formation energy: 0.0360 eV/atom.

Lattice parameters (Å, degrees): 9.373 9.373 9.373 17.76 17.76 17.76
Fractional coordinates of all 4 atoms:
Zr (0.747, 0.747, 0.747)
Rh (0.247, 0.247, 0.247)
Rh (0.999, 0.999, 0.999)
W (0.507, 0.507, 0.507)

[8]
A plane-wave DFT calculation with PBE was carried out for crystalline Th5Tc2Bi at its relaxed geometry.

The calculated total energy is -64.0 eV/f.u. As for the formation energy: -0.2809 eV/atom.

Lattice parameters (Å, degrees): 8.092 8.092 8.935 116.92 116.92 90.00
Fractional coordinates of all 16 atoms:
Tc (0.359, 0.859, 0.000)
Tc (0.859, 0.641, 0.000)
Tc (0.141, 0.359, 0.000)
Tc (0.641, 0.141, 0.000)
Th (0.289, 0.789, 0.266)
Th (0.500, 0.500, 0.000)
Th (0.523, 0.711, 0.734)
Th (0.477, 0.289, 0.266)
Th (0.211, 0.023, 0.734)
Th (0.000, 0.000, 0.000)
Th (0.977, 0.477, 0.266)
Th (0.789, 0.977, 0.266)
Th (0.023, 0.523, 0.734)
Th (0.711, 0.211, 0.734)
Bi (0.750, 0.750, 0.500)
Bi (0.250, 0.250, 0.500)

[9]
A plane-wave DFT calculation with PBE was carried out for crystalline CuSb2Te at its relaxed geometry.

The calculated total energy is -13.9 eV/f.u.

Lattice parameters (Å, degrees): 5.189 5.189 3.594 90.00 90.00 90.00
Fractional coordinates of all 4 atoms:
Sb (0.000, 0.000, 0.000)
Sb (0.500, 0.500, 0.000)
Cu (0.000, 0.500, 0.500)
Te (0.500, 0.000, 0.500)

[10]
A plane-wave DFT calculation with PBE was carried out for crystalline La2TbPm4Nd2 at its relaxed geometry.

The calculated total energy is -42.9 eV/f.u. As for the formation energy: 0.0090 eV/atom.

Lattice parameters (Å, degrees): 3.704 9.779 9.836 115.14 90.00 100.92
Fractional coordinates of all 9 atoms:
Nd (0.853, 0.706, 0.334)
Nd (0.147, 0.294, 0.666)
Pm (0.815, 0.630, 0.666)
Pm (0.185, 0.370, 0.334)
Pm (0.519, 0.037, 0.331)
Pm (0.481, 0.963, 0.669)
La (0.335, 0.669, 0.000)
La (0.665, 0.331, 0.000)
Tb (0.000, 0.000, 0.000)

[11]
A plane-wave DFT calculation with PBE was carried out for crystalline LiRu2W at its relaxed geometry.

The calculated total energy is -33.1 eV/f.u. As for the formation energy: 0.0914 eV/atom.

Lattice parameters (Å, degrees): 3.087 4.250 4.250 90.00 90.00 90.00
Fractional coordinates of all 4 atoms:
W (0.500, 0.500, 0.000)
Li (0.500, 0.000, 0.500)
Ru (0.000, 0.000, 0.000)
Ru (0.000, 0.500, 0.500)

[12]
A plane-wave DFT calculation with PBE was carried out for crystalline BeInRh at its relaxed geometry.

The calculated total energy is -14.6 eV/f.u. As for the formation energy: -0.2661 eV/atom.

Lattice parameters (Å, degrees): 3.950 3.950 3.328 90.00 90.00 120.00
Fractional coordinates of all 3 atoms:
Be (0.000, 0.000, 0.833)
Rh (0.667, 0.333, 0.833)
In (0.333, 0.667, 0.333)

Total magnetization
In order: 0.00; 0.01; 0.00; 5.00; 0.00; 0.00; 0.22; 0.00; 0.00; 0.00; 0.00; 0.00
Unit: μB per cell
V
In order: 12.5; 57.7; 24.5; 15.9; 29.2; 39.5; 16.7; 28.1; 24.2; 35.0; 13.9; 15.0
Unit: Å³/atom